Material: HfHgF2
Method: DFT, PBE
State: optimized geometry

Values from the calculation:
Its energy above the lowest structure with this stoichiometry is 7.44 kJ per mole of atoms. Its total energy is -0.39293 Ry/atom.

abc: 4.6083 4.6083 13.9617
angles: 90.00 90.00 90.00
Closest atoms and distances in Å follow each position.
Space group I4_1/amd (No. 141, origin choice 2)
Unique sites:
Hf1 0.0000 0.2500 0.3750 [4 per cell]  4 F 2.09
Hg1 0.0000 0.2500 0.8750 [4 per cell]  8 F 3.11, 4 Hf 3.26
F1 0.0000 0.0000 0.5000 [8 per cell]  2 Hf 2.09, 2 F 2.30

Material: AlCr3Ag
Method: DFT, PBE
State: optimized geometry

Values from the calculation:
Its formation energy from the elements is 1.55 eV per atom. Its energy above the lowest structure with this stoichiometry is 24.35 kJ per mole of atoms. Its total energy is -0.40702 Ry/atom.

abc: 4.9433 4.9433 4.9433
angles: 90.00 90.00 90.00
Closest atoms and distances in Å follow each position.
Space group Pm-3m (No. 221)
Unique sites:
Al1 0.0000 0.0000 0.0000 [1 per cell]  12 Cr 3.50
Cr1 0.0000 0.5000 0.5000 [3 per cell]  2 Ag 2.47
Ag1 0.5000 0.5000 0.5000 [1 per cell]  6 Cr 2.47

Material: LuAlGe2
Method: DFT, PBE
State: optimized geometry

Values from the calculation:
Its formation energy from the elements is -0.38 eV per atom. Its energy above the lowest structure with this stoichiometry is 0.00 kJ per mole of atoms. Its total energy is -0.34914 Ry/atom.

abc: 4.3854 4.3854 3.9742
angles: 90.00 90.00 90.00
Closest atoms and distances in Å follow each position.
Space group P4/mmm (No. 123)
Unique sites:
Lu1 0.0000 0.0000 0.0000 [1 per cell]  8 Ge 2.96, 4 Al 3.10
Al1 0.5000 0.5000 0.0000 [1 per cell]  8 Ge 2.96, 4 Lu 3.10
Ge1 0.0000 0.5000 0.5000 [2 per cell]  4 Al 2.96, 4 Lu 2.96, 4 Ge 3.10